The following is a DFT calculation (PBE) of a relaxed NdSc2Cd3 crystal.

Cell: 3.6083 3.6083 11.1579 Å, 90.00 90.00 90.00°
Last column: nearest neighbours and their distance in Å.
Atoms (fractional coordinates):
Nd 0.0000 0.0000 0.0000  8 Cd 3.35, 4 Nd 3.61
Sc 0.0000 0.0000 0.3445  8 Cd 3.05-3.09
Sc 0.0000 0.0000 0.6555  8 Cd 3.05-3.09
Cd 0.5000 0.5000 0.1949  4 Sc 3.05, 4 Nd 3.35, 1 Cd 3.40
Cd 0.5000 0.5000 0.5000  8 Sc 3.09, 2 Cd 3.40
Cd 0.5000 0.5000 0.8051  4 Sc 3.05, 4 Nd 3.35, 1 Cd 3.40

Summary:
ΔE_f	-1.7	eV/f.u.
mass density	6.5	g/cm3
raw total energy	-3.65	eV/atom
space-group type	P4/mmm (123)